[1]
{"formula": "CeNd7Dy12", "functional": "GGA-PBE", "state": "optimized geometry", "lattice": [[6.2083, 3.5844, 4.9971], [-6.2083, 3.5844, 4.9971], [0.0000, -7.1688, 4.9971]], "species": ["Ce", "Nd", "Nd", "Nd", "Nd", "Nd", "Nd", "Nd", "Dy", "Dy", "Dy", "Dy", "Dy", "Dy", "Dy", "Dy", "Dy", "Dy", "Dy", "Dy"], "frac_coords": [[0.0000, 0.0000, 0.0000], [0.0384, 0.3302, 0.9378], [0.0622, 0.9616, 0.6698], [0.3302, 0.9378, 0.0384], [0.5000, 0.5000, 0.5000], [0.6698, 0.0622, 0.9616], [0.9378, 0.0384, 0.3302], [0.9616, 0.6698, 0.0622], [0.1250, 0.3616, 0.4511], [0.2235, 0.7616, 0.3689], [0.2384, 0.6311, 0.7765], [0.3616, 0.4511, 0.1250], [0.3689, 0.2235, 0.7616], [0.4511, 0.1250, 0.3616], [0.5489, 0.8750, 0.6384], [0.6311, 0.7765, 0.2384], [0.6384, 0.5489, 0.8750], [0.7616, 0.3689, 0.2235], [0.7765, 0.2384, 0.6311], [0.8750, 0.6384, 0.5489]], "dos_at_fermi_per_ev_cell": 38.91, "formation_energy_ev_per_atom": 0.24, "volume_a3_per_atom": 33.4}

[2]
{"formula": "CeNd12Dy2", "functional": "GGA-PBE", "state": "optimized geometry", "lattice": [[3.5944, -5.8254, 0.0000], [3.5944, 5.8254, 0.0000], [0.0000, 0.0000, 25.0512]], "species": ["Ce", "Ce", "Nd", "Nd", "Nd", "Nd", "Nd", "Nd", "Nd", "Nd", "Nd", "Nd", "Nd", "Nd", "Nd", "Nd", "Nd", "Nd", "Nd", "Nd", "Nd", "Nd", "Nd", "Nd", "Nd", "Nd", "Dy", "Dy", "Dy", "Dy"], "frac_coords": [[0.2500, 0.7500, 0.9989], [0.7500, 0.2500, 0.0011], [0.0016, 0.5016, 0.8717], [0.0031, 0.9969, 0.0723], [0.0189, 0.5189, 0.4146], [0.0238, 0.9762, 0.5602], [0.2500, 0.2500, 0.1982], [0.2500, 0.2500, 0.3242], [0.2500, 0.2500, 0.6758], [0.2500, 0.2500, 0.8018], [0.4762, 0.5238, 0.5602], [0.4811, 0.9811, 0.4146], [0.4969, 0.5031, 0.0723], [0.4984, 0.9984, 0.8717], [0.5016, 0.0016, 0.1283], [0.5031, 0.4969, 0.9277], [0.5189, 0.0189, 0.5854], [0.5238, 0.4762, 0.4398], [0.7500, 0.7500, 0.1982], [0.7500, 0.7500, 0.3242], [0.7500, 0.7500, 0.6758], [0.7500, 0.7500, 0.8018], [0.9762, 0.0238, 0.4398], [0.9811, 0.4811, 0.5854], [0.9969, 0.0031, 0.9277], [0.9984, 0.4984, 0.1283], [0.2500, 0.7500, 0.2660], [0.2500, 0.7500, 0.7300], [0.7500, 0.2500, 0.2700], [0.7500, 0.2500, 0.7340]], "dos_at_fermi_per_ev_cell": 51.04, "formation_energy_ev_per_atom": 0.17, "volume_a3_per_atom": 35.0}

[3]
{"formula": "Ce2NdDy", "functional": "GGA-PBE", "state": "optimized geometry", "lattice": [[0.0000, 4.0226, 4.0226], [4.0226, 0.0000, 4.0226], [4.0226, 4.0226, 0.0000]], "species": ["Ce", "Ce", "Nd", "Dy"], "frac_coords": [[0.2500, 0.2500, 0.2500], [0.7500, 0.7500, 0.7500], [0.0000, 0.0000, 0.0000], [0.5000, 0.5000, 0.5000]], "dos_at_fermi_per_ev_cell": 17.36, "relative_energy_ev_per_fu": 0.655, "formation_energy_ev_per_atom": 0.27, "volume_a3_per_atom": 32.5}

What did the second record say?
{"formula": "CeNd12Dy2", "functional": "GGA-PBE", "state": "optimized geometry", "lattice": [[3.5944, -5.8254, 0.0000], [3.5944, 5.8254, 0.0000], [0.0000, 0.0000, 25.0512]], "species": ["Ce", "Ce", "Nd", "Nd", "Nd", "Nd", "Nd", "Nd", "Nd", "Nd", "Nd", "Nd", "Nd", "Nd", "Nd", "Nd", "Nd", "Nd", "Nd", "Nd", "Nd", "Nd", "Nd", "Nd", "Nd", "Nd", "Dy", "Dy", "Dy", "Dy"], "frac_coords": [[0.2500, 0.7500, 0.9989], [0.7500, 0.2500, 0.0011], [0.0016, 0.5016, 0.8717], [0.0031, 0.9969, 0.0723], [0.0189, 0.5189, 0.4146], [0.0238, 0.9762, 0.5602], [0.2500, 0.2500, 0.1982], [0.2500, 0.2500, 0.3242], [0.2500, 0.2500, 0.6758], [0.2500, 0.2500, 0.8018], [0.4762, 0.5238, 0.5602], [0.4811, 0.9811, 0.4146], [0.4969, 0.5031, 0.0723], [0.4984, 0.9984, 0.8717], [0.5016, 0.0016, 0.1283], [0.5031, 0.4969, 0.9277], [0.5189, 0.0189, 0.5854], [0.5238, 0.4762, 0.4398], [0.7500, 0.7500, 0.1982], [0.7500, 0.7500, 0.3242], [0.7500, 0.7500, 0.6758], [0.7500, 0.7500, 0.8018], [0.9762, 0.0238, 0.4398], [0.9811, 0.4811, 0.5854], [0.9969, 0.0031, 0.9277], [0.9984, 0.4984, 0.1283], [0.2500, 0.7500, 0.2660], [0.2500, 0.7500, 0.7300], [0.7500, 0.2500, 0.2700], [0.7500, 0.2500, 0.7340]], "dos_at_fermi_per_ev_cell": 51.04, "formation_energy_ev_per_atom": 0.17, "volume_a3_per_atom": 35.0}